No. 1
Computed, not measured: a relaxed LaLuCuOs crystal at the PBE level of DFT.

Lattice parameters (Å, degrees): 4.925 4.925 4.925 60.00 60.00 60.00
Fractional positions:
La 0.000 0.000 0.000
Lu 0.500 0.500 0.500
Cu 0.750 0.750 0.750
Os 0.250 0.250 0.250

Computed properties:
ΔH_f (0 K) = -0.166 eV/atom
space-group type = F-43m, No. 216

***

No. 2
Computed, not measured: a relaxed BePbBr crystal at the PBE level of DFT.

Lattice parameters (Å, degrees): 4.839 4.839 4.839 60.00 60.00 60.00
Fractional positions:
Be 0.000 0.000 0.000
Pb 0.750 0.750 0.750
Br 0.250 0.250 0.250

Computed properties:
E_form (uncorrected) = 0.662 eV/atom
energy above the most stable polymorph in this dataset = 625 meV per atom
space-group type = F-43m, No. 216

***

No. 3
Computed, not measured: a relaxed Mg2CoCl crystal at the PBE level of DFT.

Lattice parameters (Å, degrees): 5.941 5.941 5.941 107.29 107.29 113.92
Fractional positions:
Mg 0.121 0.625 0.996
Mg 0.375 0.371 0.496
Mg 0.629 0.125 0.004
Mg 0.875 0.879 0.504
Co 0.250 0.750 0.500
Co 0.500 0.500 0.000
Cl 0.000 0.000 0.000
Cl 0.750 0.250 0.500

Computed properties:
E_form (uncorrected) = 0.068 eV/atom
energy above the most stable polymorph in this dataset = 435 meV per atom
space-group type = I-42d, No. 122

***

No. 4
Computed, not measured: a relaxed RbAg2Pb2 crystal at the PBE level of DFT.

Lattice parameters (Å, degrees): 6.887 6.887 6.887 135.68 135.68 64.47
Fractional positions:
Rb 0.000 0.000 0.000
Ag 0.250 0.750 0.500
Ag 0.750 0.250 0.500
Pb 0.364 0.364 0.000
Pb 0.636 0.636 0.000

Computed properties:
energy above the most stable polymorph in this dataset = 10 meV per atom
ΔH_f (0 K) = 0.014 eV/atom
space-group type = I4/mmm, No. 139

***

No. 5
Computed, not measured: a relaxed GaSeS2 crystal at the PBE level of DFT.

Lattice parameters (Å, degrees): 4.657 4.657 4.657 60.00 60.00 60.00
Fractional positions:
Ga 0.000 0.000 0.000
Se 0.500 0.500 0.500
S 0.250 0.250 0.250
S 0.750 0.750 0.750

Computed properties:
E_form (uncorrected) = 0.465 eV/atom
energy above the most stable polymorph in this dataset = 641 meV per atom
space-group type = Fm-3m, No. 225

***

No. 6
Computed, not measured: a relaxed Pu2HgBiO8 crystal at the PBE level of DFT.

Lattice parameters (Å, degrees): 6.064 6.064 5.775 90.00 90.00 120.00
Fractional positions:
Pu 0.333 0.667 0.430
Pu 0.667 0.333 0.570
Hg 0.000 0.000 0.500
Bi 0.000 0.000 0.000
O 0.062 0.378 0.673
O 0.316 0.938 0.673
O 0.333 0.667 0.108
O 0.378 0.316 0.327
O 0.622 0.684 0.673
O 0.667 0.333 0.892
O 0.684 0.062 0.327
O 0.938 0.622 0.327

Computed properties:
E_form (uncorrected) = -1.365 eV/atom
space-group type = P-3, No. 147

***

No. 7
Computed, not measured: a relaxed KNa2AgF4 crystal at the PBE level of DFT.

Lattice parameters (Å, degrees): 7.637 7.637 9.802 90.00 90.00 154.20
Fractional positions:
K 0.240 0.760 0.750
K 0.760 0.240 0.250
Na 0.392 0.608 0.018
Na 0.392 0.608 0.482
Na 0.608 0.392 0.518
Na 0.608 0.392 0.982
Ag 0.036 0.964 0.250
Ag 0.964 0.036 0.750
F 0.000 0.000 0.000
F 0.000 0.000 0.500
F 0.175 0.825 0.095
F 0.175 0.825 0.405
F 0.404 0.596 0.250
F 0.596 0.404 0.750
F 0.825 0.175 0.595
F 0.825 0.175 0.905

Computed properties:
E_form (uncorrected) = -2.209 eV/atom
space-group type = Cmcm, No. 63

***

No. 8
Computed, not measured: a relaxed Te6MoPd2 crystal at the PBE level of DFT.

Lattice parameters (Å, degrees): 5.486 7.070 12.039 90.00 90.00 90.00
Fractional positions:
Te 0.223 0.185 0.153
Te 0.223 0.185 0.847
Te 0.233 0.673 0.000
Te 0.267 0.173 0.500
Te 0.277 0.685 0.347
Te 0.277 0.685 0.653
Te 0.723 0.315 0.347
Te 0.723 0.315 0.653
Te 0.733 0.827 0.500
Te 0.767 0.327 0.000
Te 0.777 0.815 0.153
Te 0.777 0.815 0.847
Mo 0.000 0.500 0.500
Mo 0.500 0.000 0.000
Pd 0.000 0.000 0.327
Pd 0.000 0.000 0.673
Pd 0.500 0.500 0.173
Pd 0.500 0.500 0.827

Computed properties:
E_form (uncorrected) = -0.168 eV/atom
space-group type = Pnnm, No. 58

***

No. 9
Computed, not measured: a relaxed POsN2F crystal at the PBE level of DFT.

Lattice parameters (Å, degrees): 3.878 3.878 4.136 90.00 90.00 90.00
Fractional positions:
P 0.000 0.000 0.000
Os 0.500 0.500 0.500
N 0.000 0.500 0.500
N 0.500 0.000 0.500
F 0.500 0.500 0.000

Computed properties:
E_form (uncorrected) = 0.860 eV/atom
energy above the most stable polymorph in this dataset = 0 meV per atom
space-group type = P4/mmm, No. 123

***

No. 10
Computed, not measured: a relaxed Tb2PmNd2Y4 crystal at the PBE level of DFT.

Lattice parameters (Å, degrees): 9.604 9.604 9.653 115.23 115.23 21.81
Fractional positions:
Tb 0.148 0.148 0.164
Tb 0.852 0.852 0.836
Pm 0.000 0.000 0.500
Nd 0.334 0.334 0.501
Nd 0.666 0.666 0.499
Y 0.186 0.186 0.836
Y 0.481 0.481 0.164
Y 0.519 0.519 0.836
Y 0.814 0.814 0.164

Computed properties:
ΔH_f (0 K) = -0.006 eV/atom
space-group type = C2/m, No. 12

***

No. 11
Computed, not measured: a relaxed Ba3Cu6Sb5 crystal at the PBE level of DFT.

Lattice parameters (Å, degrees): 4.526 13.459 11.241 90.00 90.00 90.00
Fractional positions:
Ba 0.250 0.091 0.246
Ba 0.250 0.409 0.246
Ba 0.250 0.750 0.263
Ba 0.750 0.250 0.737
Ba 0.750 0.591 0.754
Ba 0.750 0.909 0.754
Cu 0.250 0.075 0.882
Cu 0.250 0.250 0.512
Cu 0.250 0.250 0.980
Cu 0.250 0.425 0.882
Cu 0.250 0.576 0.493
Cu 0.250 0.924 0.493
Cu 0.750 0.076 0.507
Cu 0.750 0.424 0.507
Cu 0.750 0.575 0.118
Cu 0.750 0.750 0.020
Cu 0.750 0.750 0.488
Cu 0.750 0.925 0.118
Sb 0.250 0.079 0.637
Sb 0.250 0.421 0.637
Sb 0.250 0.611 0.998
Sb 0.250 0.750 0.608
Sb 0.250 0.889 0.998
Sb 0.750 0.111 0.002
Sb 0.750 0.250 0.392
Sb 0.750 0.389 0.002
Sb 0.750 0.579 0.363
Sb 0.750 0.921 0.363

Computed properties:
E_form (uncorrected) = -0.437 eV/atom
space-group type = Pmmn, No. 59

***

No. 12
Computed, not measured: a relaxed AcInIr2 crystal at the PBE level of DFT.

Lattice parameters (Å, degrees): 3.397 3.397 7.310 90.00 90.00 90.00
Fractional positions:
Ac 0.000 0.000 0.000
In 0.000 0.000 0.500
Ir 0.500 0.500 0.293
Ir 0.500 0.500 0.707

Computed properties:
ΔH_f (0 K) = -0.115 eV/atom
space-group type = P4/mmm, No. 123

***

Number 1: magnetic moment 0.00 μB/f.u., raw total energy -25.440 eV/f.u.. Number 2: magnetic moment 0.31 μB/f.u., raw total energy -7.123 eV/f.u.. Number 3: magnetic moment 1.45 μB/f.u., raw total energy -11.871 eV/f.u.. Number 4: magnetic moment 0.00 μB/f.u., raw total energy -14.017 eV/f.u.. Number 5: magnetic moment 0.00 μB/f.u., raw total energy -12.905 eV/f.u.. Number 6: magnetic moment 5.01 μB/f.u., raw total energy -88.889 eV/f.u.. Number 7: magnetic moment 0.00 μB/f.u., raw total energy -31.743 eV/f.u.. Number 8: magnetic moment 1.37 μB/f.u., raw total energy -41.579 eV/f.u.. Number 9: magnetic moment 0.84 μB/f.u., raw total energy -30.861 eV/f.u.. Number 10: magnetic moment 0.00 μB/f.u., raw total energy -49.454 eV/f.u.. Number 11: magnetic moment 0.00 μB/f.u., raw total energy -57.080 eV/f.u.. Number 12: magnetic moment 0.00 μB/f.u., raw total energy -25.030 eV/f.u..